A geometry-optimized V2FePb3O9 structure. Source: the Alexandria database, functional PBE with a Hubbard U.

Cell: 5.6401 5.6401 6.9964 Å, 90.00 90.00 120.00°
Sites, in units of the cell vectors:
V: 0.3333 0.6667 0.1950
V: 0.6667 0.3333 0.8050
Fe: 0.0000 0.0000 0.5000
Pb: 0.0000 0.0000 0.0000
Pb: 0.3333 0.6667 0.7249
Pb: 0.6667 0.3333 0.2751
O: 0.0000 0.5000 0.0000
O: 0.1735 0.3470 0.3175
O: 0.1735 0.8265 0.3175
O: 0.3470 0.1735 0.6825
O: 0.5000 0.0000 0.0000
O: 0.5000 0.5000 0.0000
O: 0.6530 0.8265 0.3175
O: 0.8265 0.1735 0.6825
O: 0.8265 0.6530 0.6825

DFT total energy, eV per atom: -6.59